[1]
Computed, not measured: crystalline Rb2TeAsS4 at its relaxed geometry at the PBE level of DFT.

Calculated values
The total energy is -3.838 eV/atom. For the formation energy (no corrections), the calculation gives -0.56 eV/atom.

Unit cell a=11.213 b=8.638 c=11.449 alpha=131.61 beta=134.16 gamma=77.10
Sites, in units of the cell vectors:
Rb 0.487 0.937 0.934
Rb 0.517 0.144 0.569
Rb 0.010 0.843 0.361
Rb 0.494 0.543 0.069
Te 0.020 0.354 0.862
Te 0.959 0.548 0.587
As 0.558 0.576 0.520
As 0.971 0.150 0.152
S 0.153 0.679 0.959
S 0.748 0.104 0.452
S 0.367 0.739 0.466
S 0.801 0.349 0.142
S 0.772 0.784 0.922
S 0.753 0.756 0.588
S 0.172 0.313 0.522
S 0.218 0.180 0.895

=====

[2]
Computed, not measured: crystalline RbTe2As2S6 at its relaxed geometry at the PBE level of DFT.

Calculated values
The total energy is -3.888 eV/atom. For the formation energy (no corrections), the calculation gives -0.13 eV/atom. Its density of states at the Fermi level is 4.68 states/eV/f.u.

Unit cell a=6.931 b=11.329 c=6.902 alpha=132.00 beta=97.72 gamma=68.47
Sites, in units of the cell vectors:
Rb 0.500 0.000 0.500
Te 0.788 0.430 0.988
Te 0.212 0.570 0.012
As 0.029 0.838 0.806
As 0.971 0.162 0.194
S 0.314 0.729 0.923
S 0.128 0.383 0.097
S 0.181 0.836 0.539
S 0.872 0.617 0.903
S 0.819 0.164 0.461
S 0.686 0.271 0.077

=====

[3]
Computed, not measured: crystalline Rb2TiAsS5 at its relaxed geometry at the PBE level of DFT.

Calculated values
The total energy is -4.775 eV/atom. For the formation energy (no corrections), the calculation gives -0.87 eV/atom. Its density of states at the Fermi level is 1.66 states/eV/f.u.

Unit cell a=4.013 b=9.782 c=13.654 alpha=90.00 beta=90.00 gamma=101.84
Sites, in units of the cell vectors:
Rb 0.873 0.746 0.820
Rb 0.134 0.268 0.686
Rb 0.127 0.254 0.320
Rb 0.866 0.732 0.186
Ti 0.795 0.590 0.534
Ti 0.205 0.410 0.034
As 0.570 0.139 0.932
As 0.430 0.861 0.432
S 0.317 0.635 0.002
S 0.685 0.371 0.900
S 0.513 0.026 0.795
S 0.307 0.614 0.636
S 0.938 0.877 0.519
S 0.683 0.365 0.502
S 0.315 0.629 0.400
S 0.487 0.974 0.295
S 0.693 0.386 0.136
S 0.062 0.123 0.019

=====

[4]
Computed, not measured: crystalline RbTlAsS4 at its relaxed geometry at the PBE level of DFT.

Calculated values
The total energy is -3.829 eV/atom. For the formation energy (no corrections), the calculation gives -0.33 eV/atom. Its density of states at the Fermi level is 4.31 states/eV/f.u.

Unit cell a=7.010 b=7.010 c=9.974 alpha=90.00 beta=90.00 gamma=119.37
Sites, in units of the cell vectors:
Rb 0.815 0.185 0.250
Rb 0.185 0.815 0.750
Tl 0.500 0.500 0.500
Tl 0.500 0.500 0.000
As 0.158 0.842 0.250
As 0.842 0.158 0.750
S 0.205 0.312 0.750
S 0.688 0.795 0.750
S 0.743 0.257 0.930
S 0.743 0.257 0.570
S 0.257 0.743 0.070
S 0.257 0.743 0.430
S 0.795 0.688 0.250
S 0.312 0.205 0.250

=====

Q: Which of these has the lowest formation energy (no corrections)?
A: Rb2TiAsS5

=====

Q: What is the total energy in the first record?
A: -3.838 eV/atom

=====

Q: Which value of formation energy (no corrections) does entry 1 give?
A: -0.56 eV/atom